1.
Sc2TiAu | PBE | relaxed

Calculated values
DOS at the Fermi energy = 3.905 states/eV/f.u.
Relative energy among the computed polymorphs = 10.1 meV/atom
E_tot = -6.2711 eV per atom
Calculated formation energy = -312 meV per atom

Unit cell a=4.6076 b=4.6076 c=3.7409 alpha=90.00 beta=90.00 gamma=90.00
Space group P4/mmm (No. 123)
Asymmetric unit:
Sc (0.0000, 0.5000, 0.0000) [2 per cell]
Ti (0.0000, 0.0000, 0.5000) [1 per cell]
Au (0.5000, 0.5000, 0.5000) [1 per cell]



2.
ScTi2Au2 | PBE | relaxed

Calculated values
DOS at the Fermi energy = 4.505 states/eV/f.u.
Relative energy among the computed polymorphs = 330.6 meV/atom
E_tot = -5.7401 eV per atom
Calculated formation energy = -5 meV per atom

Unit cell a=4.2266 b=4.2266 c=11.4436 alpha=90.00 beta=90.00 gamma=90.00
Space group I4/mmm (No. 139)
Asymmetric unit:
Sc (0.0000, 0.0000, 0.0000) [2 per cell]
Ti (0.0000, 0.0000, 0.3932) [4 per cell]
Au (0.0000, 0.5000, 0.2500) [4 per cell]



3.
ScTiAu2 | PBE | relaxed

Calculated values
DOS at the Fermi energy = 3.445 states/eV/f.u.
Relative energy among the computed polymorphs = 0.0 meV/atom
E_tot = -5.7454 eV per atom
Calculated formation energy = -550 meV per atom

Unit cell a=3.3331 b=3.3331 c=6.6998 alpha=90.00 beta=90.00 gamma=90.00
Space group P4/mmm (No. 123)
Asymmetric unit:
Sc (0.0000, 0.0000, 0.0000) [1 per cell]
Ti (0.0000, 0.0000, 0.5000) [1 per cell]
Au (0.5000, 0.5000, 0.2619) [2 per cell]



4.
ScTiAu | PBE | relaxed

Calculated values
DOS at the Fermi energy = 3.373 states/eV/f.u.
E_tot = -6.1798 eV per atom
Calculated formation energy = -345 meV per atom

Unit cell a=3.4289 b=11.8227 c=5.9856 alpha=90.00 beta=90.00 gamma=90.00
Space group Cmc2_1 (No. 36)
Asymmetric unit:
Sc (0.0000, 0.1880, 0.0000) [4 per cell]
Ti (0.0000, 0.4985, 0.7526) [4 per cell]
Au (0.0000, 0.1177, 0.5034) [4 per cell]



5.
Sc5TiAu6 | PBE | relaxed

Calculated values
DOS at the Fermi energy = 10.743 states/eV/f.u.
E_tot = -5.6445 eV per atom
Calculated formation energy = -710 meV per atom

Unit cell a=8.3717 b=14.2205 c=4.7413 alpha=90.00 beta=124.44 gamma=90.00
Space group C2/m (No. 12)
Asymmetric unit:
Sc (0.0000, 0.0000, 0.0000) [2 per cell]
Sc (0.0000, 0.1711, 0.5000) [4 per cell]
Sc (0.0000, 0.3439, 0.0000) [4 per cell]
Ti (0.0000, 0.5000, 0.5000) [2 per cell]
Au (0.2327, 0.0000, 0.7325) [4 per cell]
Au (0.2447, 0.1676, 0.2448) [8 per cell]



6.
Sc2TiAu6 | PBE | relaxed

Calculated values
DOS at the Fermi energy = 7.529 states/eV/f.u.
E_tot = -5.0193 eV per atom
Calculated formation energy = -550 meV per atom

Unit cell a=13.2260 b=10.3094 c=4.9918 alpha=90.00 beta=100.41 gamma=90.00
Space group C2/c (No. 15)
Asymmetric unit:
Sc (0.1673, 0.1240, 0.0826) [8 per cell]
Ti (0.0000, 0.3752, 0.2500) [4 per cell]
Au (0.0574, 0.1300, 0.5227) [8 per cell]
Au (0.1074, 0.3781, 0.8086) [8 per cell]
Au (0.2183, 0.3737, 0.3575) [8 per cell]



7.
ScTiAu | PBE | relaxed

Calculated values
DOS at the Fermi energy = 2.445 states/eV/f.u.
E_tot = -6.1750 eV per atom
Calculated formation energy = -340 meV per atom

Unit cell a=9.6011 b=4.0452 c=6.1004 alpha=90.00 beta=108.64 gamma=90.00
Space group Cm (No. 8)
Asymmetric unit:
Sc (0.0000, 0.0000, 0.0000) [2 per cell]
Sc (0.1929, 0.5000, 0.3419) [2 per cell]
Ti (0.1788, 0.5000, 0.8215) [2 per cell]
Ti (0.3564, 0.0000, 0.6680) [2 per cell]
Au (0.0252, 0.0000, 0.5117) [2 per cell]
Au (0.3353, 0.0000, 0.1569) [2 per cell]



8.
ScTiAu | PBE | relaxed

Calculated values
DOS at the Fermi energy = 4.293 states/eV/f.u.
E_tot = -6.2249 eV per atom
Calculated formation energy = -390 meV per atom

Unit cell a=4.5095 b=10.4348 c=5.0686 alpha=90.00 beta=90.00 gamma=90.00
Space group Cmcm (No. 63)
Asymmetric unit:
Sc (0.0000, 0.2090, 0.2500) [4 per cell]
Ti (0.0000, 0.5000, 0.0000) [4 per cell]
Au (0.0000, 0.0946, 0.7500) [4 per cell]



9.
ScTiAu | PBE | relaxed

Calculated values
DOS at the Fermi energy = 2.583 states/eV/f.u.
E_tot = -6.0304 eV per atom
Calculated formation energy = -196 meV per atom

Unit cell a=4.1824 b=4.1824 c=6.8692 alpha=90.00 beta=90.00 gamma=90.00
Space group P4/nmm (No. 129, origin choice 2)
Asymmetric unit:
Sc (0.2500, 0.7500, 0.0000) [2 per cell]
Ti (0.2500, 0.2500, 0.3566) [2 per cell]
Au (0.2500, 0.2500, 0.7220) [2 per cell]



10.
ScTiAu | PBE | relaxed

Calculated values
DOS at the Fermi energy = 3.687 states/eV/f.u.
E_tot = -5.6259 eV per atom
Calculated formation energy = 209 meV per atom

Unit cell a=6.2906 b=6.2906 c=6.2906 alpha=90.00 beta=90.00 gamma=90.00
Space group F-43m (No. 216)
Asymmetric unit:
Sc (0.0000, 0.0000, 0.0000) [4 per cell]
Ti (0.2500, 0.2500, 0.7500) [4 per cell]
Au (0.0000, 0.0000, 0.5000) [4 per cell]



11.
ScTi2Au2 | PBE | relaxed

Calculated values
DOS at the Fermi energy = 4.178 states/eV/f.u.
Relative energy among the computed polymorphs = 76.1 meV/atom
E_tot = -5.9946 eV per atom
Calculated formation energy = -259 meV per atom

Unit cell a=7.7198 b=7.7198 c=3.1370 alpha=90.00 beta=90.00 gamma=90.00
Space group P4/mbm (No. 127)
Asymmetric unit:
Sc (0.0000, 0.0000, 0.0000) [2 per cell]
Ti (0.1533, 0.3467, 0.0000) [4 per cell]
Au (0.1435, 0.6435, 0.5000) [4 per cell]



12.
ScTiAu | PBE | relaxed

Calculated values
DOS at the Fermi energy = 2.897 states/eV/f.u.
E_tot = -6.1899 eV per atom
Calculated formation energy = -355 meV per atom

Unit cell a=5.2063 b=9.0569 c=4.9829 alpha=90.00 beta=107.46 gamma=90.00
Space group C2/c (No. 15)
Asymmetric unit:
Sc (0.0000, 0.2258, 0.2500) [4 per cell]
Ti (0.0000, 0.4497, 0.7500) [4 per cell]
Au (0.0000, 0.0977, 0.7500) [4 per cell]



13.
ScTi2Au | PBE | relaxed

Calculated values
DOS at the Fermi energy = 4.523 states/eV/f.u.
E_tot = -6.2597 eV per atom
Calculated formation energy = 90 meV per atom

Unit cell a=7.6138 b=7.6138 c=5.5471 alpha=90.00 beta=90.00 gamma=90.00
Space group I-42d (No. 122)
Asymmetric unit:
Sc (0.0000, 0.0000, 0.0000) [4 per cell]
Ti (0.2159, 0.7500, 0.6250) [8 per cell]
Au (0.0000, 0.0000, 0.5000) [4 per cell]



14.
Sc2TiAu | PBE | relaxed

Calculated values
DOS at the Fermi energy = 6.568 states/eV/f.u.
Relative energy among the computed polymorphs = 433.2 meV/atom
E_tot = -5.8480 eV per atom
Calculated formation energy = 111 meV per atom

Unit cell a=4.0960 b=4.0960 c=19.8502 alpha=90.00 beta=90.00 gamma=90.00
Space group I-42d (No. 122)
Asymmetric unit:
Sc (0.2459, 0.2500, 0.1250) [8 per cell]
Ti (0.0000, 0.0000, 0.5000) [4 per cell]
Au (0.0000, 0.0000, 0.0000) [4 per cell]



15.
Sc2TiAu | PBE | relaxed

Calculated values
DOS at the Fermi energy = 1.274 states/eV/f.u.
Relative energy among the computed polymorphs = 53.0 meV/atom
E_tot = -6.2282 eV per atom
Calculated formation energy = -269 meV per atom

Unit cell a=6.8167 b=6.8167 c=6.8167 alpha=90.00 beta=90.00 gamma=90.00
Space group Fm-3m (No. 225)
Asymmetric unit:
Sc (0.2500, 0.2500, 0.2500) [8 per cell]
Ti (0.0000, 0.0000, 0.0000) [4 per cell]
Au (0.0000, 0.0000, 0.5000) [4 per cell]



16.
ScTiAu | PBE | relaxed

Calculated values
DOS at the Fermi energy = 3.802 states/eV/f.u.
E_tot = -5.8995 eV per atom
Calculated formation energy = -65 meV per atom

Unit cell a=4.7330 b=4.7330 c=5.7065 alpha=90.00 beta=90.00 gamma=120.00
Space group P6_3/mmc (No. 194)
Asymmetric unit:
Sc (0.3333, 0.6667, 0.2500) [2 per cell]
Ti (0.3333, 0.6667, 0.7500) [2 per cell]
Au (0.0000, 0.0000, 0.0000) [2 per cell]



17.
ScTiAu | PBE | relaxed

Calculated values
DOS at the Fermi energy = 3.627 states/eV/f.u.
E_tot = -6.1990 eV per atom
Calculated formation energy = -364 meV per atom

Unit cell a=6.6768 b=3.2726 c=10.3997 alpha=90.00 beta=90.00 gamma=90.00
Space group Pnma (No. 62)
Asymmetric unit:
Sc (0.1393, 0.2500, 0.0881) [4 per cell]
Ti (0.1110, 0.2500, 0.4129) [4 per cell]
Au (0.1275, 0.2500, 0.7585) [4 per cell]



18.
ScTiTlAu | PBE | relaxed

Calculated values
DOS at the Fermi energy = 2.946 states/eV/f.u.
E_tot = -5.2359 eV per atom
Calculated formation energy = -268 meV per atom

Unit cell a=6.8608 b=6.8608 c=6.8608 alpha=90.00 beta=90.00 gamma=90.00
Space group F-43m (No. 216)
Asymmetric unit:
Sc (0.0000, 0.0000, 0.0000) [4 per cell]
Ti (0.0000, 0.0000, 0.5000) [4 per cell]
Tl (0.2500, 0.2500, 0.2500) [4 per cell]
Au (0.2500, 0.2500, 0.7500) [4 per cell]



19.
Sc4TlAu | PBE | relaxed

Calculated values
DOS at the Fermi energy = 5.733 states/eV/f.u.
Relative energy among the computed polymorphs = 0.0 meV/atom
E_tot = -5.3729 eV per atom
Calculated formation energy = -211 meV per atom

Unit cell a=4.7278 b=4.7278 c=6.8693 alpha=90.00 beta=90.00 gamma=90.00
Space group P4/mmm (No. 123)
Asymmetric unit:
Sc (0.0000, 0.5000, 0.2332) [4 per cell]
Tl (0.0000, 0.0000, 0.5000) [1 per cell]
Au (0.5000, 0.5000, 0.0000) [1 per cell]



20.
ScTl2Au | PBE | relaxed

Calculated values
DOS at the Fermi energy = 2.642 states/eV/f.u.
E_tot = -3.5861 eV per atom
Calculated formation energy = -1 meV per atom

Unit cell a=3.4880 b=3.4880 c=27.3260 alpha=90.00 beta=90.00 gamma=120.00
Space group R-3m (No. 166, hexagonal axes)
Asymmetric unit:
Sc (0.0000, 0.0000, 0.0000) [3 per cell]
Tl (0.0000, 0.0000, 0.2454) [6 per cell]
Au (0.0000, 0.0000, 0.5000) [3 per cell]